## i
# BaReBr2 (GGA-PBE, optimized geometry)
# V in Å³ per atom: 34.74
# Magnetization in μB/f.u.: 4.4
# Density in g/cm³: 5.78
# D(E_F) in states/eV/atom: 0.683
data_BaReBr2
_cell_length_a 4.0727
_cell_length_b 4.0727
_cell_length_c 29.0184
_cell_angle_alpha 90.00
_cell_angle_beta 90.00
_cell_angle_gamma 120.00
_space_group_name_H-M_alt 'R -3 m'
_space_group_IT_number 166
_space_group_name_Hall '-R 3 2"'
loop_
_atom_site_label
_atom_site_type_symbol
_atom_site_fract_x
_atom_site_fract_y
_atom_site_fract_z
Ba1 Ba 0.0000 0.0000 0.0000
Re1 Re 0.0000 0.0000 0.5000
Br1 Br 0.0000 0.0000 0.4135

---

## ii
# BaReBr2 (GGA-PBE, optimized geometry)
# V in Å³ per atom: 30.88
# Magnetization in μB/f.u.: 5.0
# Density in g/cm³: 6.50
# D(E_F) in states/eV/atom: 0.490
data_BaReBr2
_cell_length_a 5.260
_cell_length_b 5.260
_cell_length_c 4.465
_cell_angle_alpha 90.00
_cell_angle_beta 90.00
_cell_angle_gamma 90.00
_space_group_name_H-M_alt 'P 4/m m m'
_space_group_IT_number 123
_space_group_name_Hall '-P 4 2'
loop_
_atom_site_label
_atom_site_type_symbol
_atom_site_fract_x
_atom_site_fract_y
_atom_site_fract_z
Ba1 Ba 0.000 0.000 0.000
Re1 Re 0.500 0.500 0.000
Br1 Br 0.000 0.500 0.500

---

## iii
# BaReBr2 (GGA-PBE, optimized geometry)
# V in Å³ per atom: 32.11
# Magnetization in μB/f.u.: 3.0
# Density in g/cm³: 6.25
# D(E_F) in states/eV/atom: 0.559
data_BaReBr2
_cell_length_a 4.693
_cell_length_b 4.283
_cell_length_c 12.781
_cell_angle_alpha 90.00
_cell_angle_beta 90.00
_cell_angle_gamma 90.00
_space_group_name_H-M_alt 'A m m 2'
_space_group_IT_number 38
loop_
_space_group_symop_operation_xyz
'x,y,z'
'-x,-y,z'
'-x,y,z'
'x,-y,z'
'x,y+1/2,z+1/2'
'-x,-y+1/2,z+1/2'
'-x,y+1/2,z+1/2'
'x,-y+1/2,z+1/2'
loop_
_atom_site_label
_atom_site_type_symbol
_atom_site_fract_x
_atom_site_fract_y
_atom_site_fract_z
Ba1 Ba 0.000 0.000 0.000
Re1 Re 0.500 0.000 0.367
Br1 Br 0.000 0.000 0.299
Br2 Br 0.500 0.000 0.592

---

Relative energy table, unit eV/atom: i 0.250; ii 0.160; iii 0.000

---

## i
# BaReBr2 (GGA-PBE, optimized geometry)
# V in Å³ per atom: 48.78
# Magnetization in μB/f.u.: 5.0
# Density in g/cm³: 4.11
data_BaReBr2
_cell_length_a 4.8737
_cell_length_b 4.8737
_cell_length_c 28.4578
_cell_angle_alpha 90.00
_cell_angle_beta 90.00
_cell_angle_gamma 120.00
_space_group_name_H-M_alt 'R -3 m'
_space_group_IT_number 166
_space_group_name_Hall '-R 3 2"'
loop_
_atom_site_label
_atom_site_type_symbol
_atom_site_fract_x
_atom_site_fract_y
_atom_site_fract_z
Ba1 Ba 0.0000 0.0000 0.0000
Re1 Re 0.0000 0.0000 0.5000
Br1 Br 0.0000 0.0000 0.2768

---

## ii
# BaReBr2 (GGA-PBE, optimized geometry)
# V in Å³ per atom: 30.76
# Magnetization in μB/f.u.: 5.0
# Density in g/cm³: 6.52
# D(E_F) in states/eV/atom: 1.163
data_BaReBr2
_cell_length_a 7.896
_cell_length_b 7.896
_cell_length_c 7.896
_cell_angle_alpha 90.00
_cell_angle_beta 90.00
_cell_angle_gamma 90.00
_space_group_name_H-M_alt 'F m -3 m'
_space_group_IT_number 225
_space_group_name_Hall '-F 4 2 3'
loop_
_atom_site_label
_atom_site_type_symbol
_atom_site_fract_x
_atom_site_fract_y
_atom_site_fract_z
Ba1 Ba 0.000 0.000 0.000
Re1 Re 0.000 0.000 0.500
Br1 Br 0.250 0.250 0.250

---

Relative energy table, unit eV/atom: i 0.060; ii 0.000